Record 1
Here is an optimized crystal structure of ScTlAsSe2 from the Alexandria database. Energies are from PBE.

- SG: P4/mmm (123)
- E_tot: -0.3291 Ry per atom
- N(E_F): 5.0 states/eV/cell
- Crystal system: tetragonal
- E_form (uncorrected): -414 meV/atom
- Offset from the most stable computed form: 0.000 eV/atom

extended XYZ file:
```
5
Lattice="5.224 0.000 0.000 0.000 5.224 0.000 0.000 0.000 5.240" Properties=species:S:1:pos:R:3 pbc="T T T"
Sc 0.000 0.000 0.000
Tl 2.612 2.612 2.620
As 0.000 0.000 2.620
Se 0.000 2.612 0.000
Se 2.612 0.000 0.000
```

=====

Record 2
Here is an optimized crystal structure of ScTlAs2Se from the Alexandria database. Energies are from PBE.

- SG: P4/mmm (123)
- E_tot: -0.3280 Ry per atom
- N(E_F): 5.1 states/eV/cell
- Crystal system: tetragonal
- E_form (uncorrected): -166 meV/atom
- Offset from the most stable computed form: 0.000 eV/atom

extended XYZ file:
```
5
Lattice="5.197 0.000 0.000 0.000 5.197 0.000 0.000 0.000 5.223" Properties=species:S:1:pos:R:3 pbc="T T T"
Sc 0.000 0.000 0.000
Tl 2.598 2.598 2.612
As 0.000 2.598 0.000
As 2.598 0.000 0.000
Se 0.000 0.000 2.612
```

=====

Record 3
Here is an optimized crystal structure of Sc6TlAs2Se3 from the Alexandria database. Energies are from PBE.

- SG: C2/m (12)
- E_tot: -0.4634 Ry per atom
- N(E_F): 4.6 states/eV/cell
- Crystal system: monoclinic
- E_form (uncorrected): -1296 meV/atom

extended XYZ file:
```
12
Lattice="8.576 -1.937 0.000 8.576 1.937 0.000 -1.878 0.000 7.750" Properties=species:S:1:pos:R:3 pbc="T T T"
Sc -0.459 0.000 2.063
Sc 4.829 0.000 3.290
Sc 3.932 0.000 7.003
Sc 11.342 0.000 0.747
Sc 10.444 0.000 4.460
Sc 15.732 0.000 5.686
Tl 8.576 0.000 0.000
As 2.230 0.000 2.589
As 13.043 0.000 5.161
Se 1.286 0.000 6.443
Se 7.637 0.000 3.875
Se 13.988 0.000 1.307
```

=====

Record 4
Here is an optimized crystal structure of ScTl2AsSe4 from the Alexandria database. Energies are from PBE.

- SG: Imma (74)
- E_tot: -0.3230 Ry per atom
- N(E_F): 0.7 states/eV/cell
- Crystal system: orthorhombic
- E_form (uncorrected): -688 meV/atom

extended XYZ file:
```
16
Lattice="-4.126 4.279 5.952 4.126 -4.279 5.952 4.126 4.279 -5.952" Properties=species:S:1:pos:R:3 pbc="T T T"
Sc -2.063 2.140 2.976
Sc 2.063 2.140 2.976
Tl 0.000 0.000 0.000
Tl 2.063 2.140 -2.976
Tl 2.063 -2.140 2.976
Tl 0.000 4.279 0.000
As 4.126 0.000 0.000
As 0.000 0.000 5.952
Se 2.320 2.140 0.207
Se 5.931 2.140 0.207
Se 4.126 0.301 2.772
Se 0.000 0.301 3.180
Se 4.126 3.978 2.772
Se 0.000 3.978 3.180
Se -1.805 2.140 5.744
Se 1.805 2.140 5.744
```

=====

Record 5
Here is an optimized crystal structure of ScTlAs2Se from the Alexandria database. Energies are from PBE.

- SG: P4/mmm (123)
- E_tot: -0.2675 Ry per atom
- N(E_F): 5.3 states/eV/cell
- Crystal system: tetragonal
- E_form (uncorrected): 657 meV/atom
- Offset from the most stable computed form: 0.823 eV/atom

extended XYZ file:
```
5
Lattice="5.208 0.000 0.000 0.000 5.208 0.000 0.000 0.000 5.322" Properties=species:S:1:pos:R:3 pbc="T T T"
Sc 0.000 0.000 0.000
Tl 2.604 2.604 2.661
As 0.000 2.604 2.661
As 2.604 0.000 2.661
Se 2.604 2.604 0.000
```

=====

Record 6
Here is an optimized crystal structure of ScAs2WSe from the Alexandria database. Energies are from PBE.

- SG: P4/mmm (123)
- E_tot: -0.3980 Ry per atom
- N(E_F): 3.9 states/eV/cell
- Crystal system: tetragonal
- E_form (uncorrected): 999 meV/atom
- Offset from the most stable computed form: 0.752 eV/atom

extended XYZ file:
```
5
Lattice="5.014 0.000 0.000 0.000 5.014 0.000 0.000 0.000 4.995" Properties=species:S:1:pos:R:3 pbc="T T T"
Sc 0.000 0.000 0.000
As 0.000 2.507 0.000
As 2.507 0.000 0.000
W 2.507 2.507 2.497
Se 0.000 0.000 2.497
```